No. 1
The following is a GGA-PBE calculation of crystalline CrCu2N3 at its relaxed geometry, from the Alexandria database.

Structure (extended XYZ):
```
12
Lattice="4.461 -2.676 0.000 4.461 2.676 0.000 0.000 0.000 5.373" Properties=species:S:1:pos:R:3 pbc="T T T"
Cr 4.461 1.826 2.686
Cr 4.461 -1.826 0.000
Cu 3.094 0.954 5.083
Cu 5.829 0.954 5.083
Cu 3.094 -0.954 2.396
Cu 5.829 -0.954 2.396
N 4.461 1.899 0.843
N 3.050 0.907 3.115
N 5.873 0.907 3.115
N 3.050 -0.907 0.429
N 5.873 -0.907 0.429
N 4.461 -1.899 3.529
```

For the calculated volume, the calculation gives 128 Å³/cell. The formation energy (no corrections) comes out at 1.0 eV/f.u. Its raw total energy is -0.51171 Ry per atom. For the density of states at the Fermi level, the calculation gives 0.5309 states/eV per atom.

***

No. 2
The following is a GGA-PBE calculation of crystalline RbLi2Bi at its relaxed geometry, from the Alexandria database.

Structure (extended XYZ):
```
8
Lattice="-2.972 2.972 8.936 2.972 -2.972 8.936 2.972 2.972 -8.936" Properties=species:S:1:pos:R:3 pbc="T T T"
Rb 2.972 1.486 2.234
Rb 0.000 1.486 6.702
Li 0.000 0.000 0.000
Li 1.486 1.486 -4.468
Li 1.486 -1.486 4.468
Li 0.000 2.972 0.000
Bi 2.972 -1.486 6.702
Bi 0.000 4.457 2.234
```

For the calculated volume, the calculation gives 316 Å³/cell. Its raw total energy is -0.18058 Ry per atom. For the density of states at the Fermi level, the calculation gives 0.0000 states/eV per atom. Its formation energy is -0.2879 eV/atom.

***

No. 3
The following is a GGA-PBE calculation of crystalline Na2MnSiB at its relaxed geometry, from the Alexandria database.

Structure (extended XYZ):
```
5
Lattice="4.931 0.000 0.000 0.000 4.931 0.000 0.000 0.000 3.965" Properties=species:S:1:pos:R:3 pbc="T T T"
Na 0.000 2.465 0.000
Na 2.465 0.000 0.000
Mn 0.000 0.000 1.982
Si 2.465 2.465 1.982
B 0.000 0.000 0.000
```

For the calculated volume, the calculation gives 96 Å³/cell. The formation energy (no corrections) comes out at 4.1 eV/f.u. Its raw total energy is -0.29155 Ry per atom. For the density of states at the Fermi level, the calculation gives 0.6217 states/eV per atom.

***

No. 4
The following is a GGA-PBE calculation of crystalline CaIrSe2 at its relaxed geometry, from the Alexandria database.

Structure (extended XYZ):
```
4
Lattice="4.402 0.000 0.000 0.000 4.638 0.000 -1.503 0.000 4.880" Properties=species:S:1:pos:R:3 pbc="T T T"
Ca 0.000 0.000 0.000
Ir 2.244 2.319 2.738
Se 0.051 2.319 3.795
Se 2.207 0.000 1.936
```

For the calculated volume, the calculation gives 100 Å³/cell. The formation energy (no corrections) comes out at -2.8 eV/f.u. Its raw total energy is -0.37989 Ry per atom. For the density of states at the Fermi level, the calculation gives 0.6524 states/eV per atom.

***

No. 5
The following is a GGA-PBE calculation of crystalline Pm2Tm2Bi2P at its relaxed geometry, from the Alexandria database.

Structure (extended XYZ):
```
7
Lattice="-2.542 2.542 8.274 2.542 -2.542 8.274 2.542 2.542 -8.274" Properties=species:S:1:pos:R:3 pbc="T T T"
Pm 0.000 0.000 2.773
Pm 0.000 0.000 13.774
Tm 2.542 0.000 0.000
Tm 0.000 2.542 0.000
Bi 0.000 0.000 6.044
Bi 0.000 0.000 10.503
P 0.000 0.000 0.000
```

For the calculated volume, the calculation gives 214 Å³/cell. Its raw total energy is -0.39370 Ry per atom. For the density of states at the Fermi level, the calculation gives 0.7056 states/eV per atom. Its formation energy is -0.8400 eV/atom.

***

No. 6
The following is a GGA-PBE calculation of crystalline RbZn2HI at its relaxed geometry, from the Alexandria database.

Structure (extended XYZ):
```
5
Lattice="4.806 0.000 0.000 0.000 4.806 0.000 0.000 0.000 5.872" Properties=species:S:1:pos:R:3 pbc="T T T"
Rb 0.000 0.000 0.000
Zn 0.000 2.403 2.936
Zn 2.403 0.000 2.936
H 0.000 0.000 2.936
I 2.403 2.403 0.000
```

For the calculated volume, the calculation gives 136 Å³/cell. Its raw total energy is -0.12244 Ry per atom. For the density of states at the Fermi level, the calculation gives 0.2161 states/eV per atom.